DFT (PBE-GGA) results for Ce2SmHo3Se6 after structural relaxation.

E_tot, eV/atom: -6.05
Formation energy (no corrections), meV per atom: -1783

Lattice parameters (Å, degrees): 7.085 12.293 7.230 90.00 109.12 90.00
Space group C2/m (No. 12)
Inequivalent atoms, fractional coordinates:
Ce 0.000 0.166 0.000 (multiplicity 4)
Sm 0.000 0.500 0.000 (multiplicity 2)
Ho 0.000 0.000 0.500 (multiplicity 2)
Ho 0.000 0.335 0.500 (multiplicity 4)
Se 0.246 0.166 0.737 (multiplicity 8)
Se 0.246 0.500 0.738 (multiplicity 4)